[1]
Entry from Alexandria via LeMat-Bulk: a geometry-optimized Ba2InIr structure (PBE).

- Formation energy from the elements: -0.127 eV/atom
- Calculated total energy: -3.99 eV per atom

The structure in POSCAR format:
```
Ba2InIr
1.0
-3.937 -5.693 0.134
2.827 -6.313 -0.287
-0.416 6.051 3.337
Ba Ir In
2 1 1
Direct
0.053 0.053 0.000
0.743 0.243 0.500
0.274 0.774 0.500
0.430 0.430 0.000
```

=====

[2]
Entry from Alexandria via LeMat-Bulk: a geometry-optimized BaIn2Ir2 structure (PBE).

- Formation energy from the elements: -0.082 eV/atom
- Calculated total energy: -5.11 eV per atom

The structure in POSCAR format:
```
BaIn2Ir2
1.0
8.295 0.000 0.000
0.000 8.295 0.000
0.000 0.000 3.112
Ir In Ba
4 4 2
Direct
0.156 0.344 0.000
0.656 0.156 0.000
0.844 0.656 0.000
0.344 0.844 0.000
0.864 0.364 0.500
0.364 0.136 0.500
0.136 0.636 0.500
0.636 0.864 0.500
0.500 0.500 0.000
0.000 0.000 0.000
```

=====

[3]
Entry from Alexandria via LeMat-Bulk: a geometry-optimized BaIn2Ir2 structure (PBE).

- Formation energy from the elements: -0.275 eV/atom
- Calculated total energy: -5.30 eV per atom

The structure in POSCAR format:
```
BaIn2Ir2
1.0
-4.511 0.864 0.597
-0.878 -1.659 -4.235
-3.392 -5.528 0.336
In Ir Ba
2 2 1
Direct
0.750 0.250 0.500
0.250 0.750 0.500
0.390 0.390 0.220
0.610 0.610 0.780
0.000 0.000 0.000
```

=====

[4]
Entry from Alexandria via LeMat-Bulk: a geometry-optimized BaIn2Ir structure (PBE).

- Formation energy from the elements: 0.178 eV/atom
- Calculated total energy: -3.89 eV per atom

The structure in POSCAR format:
```
BaIn2Ir
1.0
-3.830 -1.266 -3.365
1.147 -1.006 -5.027
-0.360 -4.905 -1.846
In Ir Ba
2 1 1
Direct
0.000 0.000 0.000
0.250 0.250 0.250
0.750 0.750 0.750
0.500 0.500 0.500
```

=====

[5]
Entry from Alexandria via LeMat-Bulk: a geometry-optimized BaInIr2 structure (PBE).

- Formation energy from the elements: 0.572 eV/atom
- Calculated total energy: -5.02 eV per atom

The structure in POSCAR format:
```
BaInIr2
1.0
-3.980 -4.027 -0.074
1.540 -4.943 -2.292
2.143 3.522 3.881
In Ir Ba
1 2 1
Direct
0.750 0.250 0.500
0.250 0.750 0.500
0.000 0.000 0.000
0.500 0.500 0.000
```

=====

[6]
Entry from Alexandria via LeMat-Bulk: a geometry-optimized BaIn2Ir structure (PBE).

- Formation energy from the elements: -0.034 eV/atom
- Calculated total energy: -4.10 eV per atom

The structure in POSCAR format:
```
BaIn2Ir
1.0
-2.668 -5.164 0.369
0.754 -0.799 -5.720
6.518 -6.736 -1.166
In Ba Ir
4 2 2
Direct
0.875 0.124 0.750
0.375 0.126 0.750
0.874 0.125 0.250
0.876 0.625 0.250
0.500 0.500 0.000
0.250 0.750 0.500
0.000 0.000 0.000
0.750 0.250 0.500
```

=====

[7]
Entry from Alexandria via LeMat-Bulk: a geometry-optimized BaIn2Ir structure (PBE).

- Formation energy from the elements: -0.287 eV/atom
- Calculated total energy: -4.35 eV per atom

The structure in POSCAR format:
```
BaIn2Ir
1.0
-2.648 1.463 3.612
-4.694 0.053 -0.391
-2.685 -5.152 3.188
In Ir Ba
2 1 1
Direct
0.784 0.784 0.648
0.043 0.043 0.872
0.428 0.428 0.716
0.246 0.246 0.264
```

=====

[8]
Entry from Alexandria via LeMat-Bulk: a geometry-optimized BaIn9Ir2 structure (PBE).

- Formation energy from the elements: -0.259 eV/atom
- Calculated total energy: -3.95 eV per atom

The structure in POSCAR format:
```
BaIn9Ir2
1.0
-3.823 0.636 -8.133
-4.311 -4.229 6.686
-1.864 3.748 1.169
In Ir Ba
9 2 1
Direct
0.207 0.413 0.500
0.500 0.000 0.000
0.000 0.500 0.000
0.207 0.793 0.500
0.793 0.207 0.500
0.793 0.587 0.500
0.500 0.500 0.000
0.587 0.793 0.500
0.413 0.207 0.500
0.667 0.333 0.000
0.333 0.667 0.000
0.000 0.000 0.000
```